Entry 1:
SmThCu: relaxed, PBE.

Properties
Symmetry: No. 107
Excess energy over the best structure of this formula in the dataset (kJ per mole of atoms): 2.8

Unit cell a=3.592 b=3.592 c=6.618 alpha=105.75 beta=105.75 gamma=90.00
Positions (direct):
Th 0.310 0.310 0.620
Sm 0.020 0.020 0.039
Cu 0.670 0.670 0.341

***

Entry 2:
Sm2ThCu6: relaxed, PBE.

Properties
Symmetry: No. 191

Unit cell a=3.656 b=7.434 c=7.434 alpha=120.00 beta=90.00 gamma=90.00
Positions (direct):
Sm 0.000 0.333 0.667
Sm 0.000 0.667 0.333
Th 0.000 0.000 0.000
Cu 0.500 0.334 0.334
Cu 0.500 0.666 0.666
Cu 0.500 0.000 0.666
Cu 0.500 0.666 0.000
Cu 0.500 0.334 0.000
Cu 0.500 0.000 0.334

***

Entry 3:
SmThCu: relaxed, PBE.

Properties
Symmetry: No. 69
Excess energy over the best structure of this formula in the dataset (kJ per mole of atoms): 0.0

Unit cell a=5.899 b=5.899 c=5.924 alpha=103.85 beta=103.85 gamma=121.29
Positions (direct):
Th 0.663 0.337 0.000
Th 0.337 0.663 0.000
Sm 0.838 0.838 0.675
Sm 0.162 0.162 0.325
Cu 0.750 0.250 0.500
Cu 0.250 0.750 0.500

***

Entry 4:
SmThCu4: relaxed, PBE.

Properties
Symmetry: No. 216
Excess energy over the best structure of this formula in the dataset (kJ per mole of atoms): 10.7

Unit cell a=5.340 b=5.340 c=5.340 alpha=60.00 beta=60.00 gamma=60.00
Positions (direct):
Cu 0.625 0.625 0.124
Cu 0.625 0.124 0.625
Cu 0.625 0.625 0.625
Cu 0.124 0.625 0.625
Sm 0.000 0.000 0.000
Th 0.250 0.250 0.250

***

Entry 5:
SmTh2Cu6: relaxed, PBE.

Properties
Symmetry: No. 191

Unit cell a=3.595 b=7.508 c=7.508 alpha=120.00 beta=90.00 gamma=90.00
Positions (direct):
Sm 0.000 0.000 0.000
Th 0.000 0.333 0.667
Th 0.000 0.667 0.333
Cu 0.500 0.333 0.333
Cu 0.500 0.667 0.667
Cu 0.500 0.000 0.667
Cu 0.500 0.667 0.000
Cu 0.500 0.333 0.000
Cu 0.500 0.000 0.333

***

Entry 6:
SmThZnCu: relaxed, PBE.

Properties
Symmetry: No. 216

Unit cell a=5.105 b=5.105 c=5.105 alpha=60.00 beta=60.00 gamma=60.00
Positions (direct):
Zn 0.750 0.750 0.750
Cu 0.250 0.250 0.250
Sm 0.500 0.500 0.500
Th 0.000 0.000 0.000

***

Entry 7:
Sm2TiCu: relaxed, PBE.

Properties
Symmetry: No. 123
Excess energy over the best structure of this formula in the dataset (kJ per mole of atoms): 0.0

Unit cell a=3.443 b=3.443 c=7.983 alpha=90.00 beta=90.00 gamma=90.00
Positions (direct):
Cu 0.500 0.500 0.000
Sm 0.000 0.000 0.768
Sm 0.000 0.000 0.232
Ti 0.500 0.500 0.500

***

Entry 8:
SmTiCu4: relaxed, PBE.

Properties
Symmetry: No. 216

Unit cell a=5.119 b=5.119 c=5.119 alpha=60.00 beta=60.00 gamma=60.00
Positions (direct):
Cu 0.623 0.623 0.130
Cu 0.623 0.130 0.623
Cu 0.623 0.623 0.623
Cu 0.130 0.623 0.623
Sm 0.000 0.000 0.000
Ti 0.250 0.250 0.250

***

Values for energy of formation, kcal/mol of atoms, ordered as above
-0.9, -5.0, -1.5, -1.4, -4.7, -3.4, 1.7, 0.0
Values for magnetization, μB/f.u., ordered as above
0.00, 0.00, 0.00, 0.00, 0.00, 0.00, 0.00, 1.39